# 1
Material: ZrMn2In2
Method: DFT, PBE
State: optimized geometry

Properties
The total energy comes out at -30.98 eV for the cell shown. Its calculated volume is 93 Å³/cell. As for the formation energy: 277 meV per atom. The total magnetization comes out at 0.8 Bohr magnetons per cell.

Unit cell a=3.170 b=3.170 c=9.479 alpha=80.37 beta=80.37 gamma=90.00
Atoms (fractional coordinates):
In 0.377 0.377 0.245
In 0.623 0.623 0.755
Mn 0.250 0.750 0.500
Zr 0.000 0.000 0.000
Mn 0.750 0.250 0.500

# 2
Material: ZrMn3In
Method: DFT, PBE
State: optimized geometry

Properties
The total energy comes out at -32.61 eV for the cell shown. Its calculated volume is 111 Å³/cell. As for the formation energy: 1236 meV per atom. The total magnetization comes out at 9.0 Bohr magnetons per cell.

Unit cell a=4.808 b=4.808 c=4.808 alpha=90.00 beta=90.00 gamma=90.00
Atoms (fractional coordinates):
Mn 0.000 0.500 0.000
In 0.500 0.500 0.500
Mn 0.500 0.000 0.000
Mn 0.000 0.000 0.500
Zr 0.000 0.000 0.000

# 3
Material: Zr2MnIn
Method: DFT, PBE
State: optimized geometry

Properties
The total energy comes out at -29.10 eV for the cell shown. Its calculated volume is 81 Å³/cell. As for the formation energy: -24 meV per atom. The total magnetization comes out at 1.7 Bohr magnetons per cell.

Unit cell a=5.865 b=5.865 c=5.865 alpha=147.76 beta=130.35 gamma=60.45
Atoms (fractional coordinates):
Zr 0.030 0.030 0.000
Mn 0.249 0.749 0.500
Zr 0.750 0.250 0.500
In 0.472 0.472 0.000

# 4
Material: ZrMn3In
Method: DFT, PBE
State: optimized geometry

Properties
The total energy comes out at -32.75 eV for the cell shown. Its calculated volume is 115 Å³/cell. As for the formation energy: 1209 meV per atom. The total magnetization comes out at 9.9 Bohr magnetons per cell.

Unit cell a=4.869 b=4.869 c=4.869 alpha=90.00 beta=90.00 gamma=90.00
Atoms (fractional coordinates):
Zr 0.500 0.500 0.500
In 0.000 0.000 0.000
Mn 0.000 0.000 0.500
Mn 0.500 0.000 0.000
Mn 0.000 0.500 0.000

# 5
Material: InMo3
Method: DFT, PBE
State: optimized geometry

Properties
The total energy comes out at -33.55 eV for the cell shown. Its calculated volume is 70 Å³/cell. As for the formation energy: 419 meV per atom. The total magnetization comes out at 0.0 Bohr magnetons per cell.

Unit cell a=9.173 b=9.173 c=9.173 alpha=18.78 beta=18.78 gamma=18.78
Atoms (fractional coordinates):
Mo 0.243 0.243 0.243
Mo 0.500 0.500 0.500
Mo 0.757 0.757 0.757
In 0.000 0.000 0.000

# 6
Material: In5Mo
Method: DFT, PBE
State: optimized geometry

Properties
The total energy comes out at -22.77 eV for the cell shown. Its calculated volume is 139 Å³/cell. As for the formation energy: 292 meV per atom. The total magnetization comes out at 1.1 Bohr magnetons per cell.

Unit cell a=5.950 b=5.950 c=7.880 alpha=69.28 beta=69.28 gamma=32.48
Atoms (fractional coordinates):
In 0.978 0.978 0.606
In 0.596 0.596 0.232
In 0.699 0.699 0.708
In 0.303 0.303 0.341
Mo 0.277 0.277 0.958
In 0.981 0.981 0.989

# 7
Material: InMo2
Method: DFT, PBE
State: optimized geometry

Properties
The total energy comes out at -45.26 eV for the cell shown. Its calculated volume is 111 Å³/cell. As for the formation energy: 591 meV per atom. The total magnetization comes out at 0.0 Bohr magnetons per cell.

Unit cell a=5.291 b=5.291 c=5.291 alpha=104.79 beta=104.79 gamma=119.30
Atoms (fractional coordinates):
In 0.250 0.250 0.000
Mo 0.873 0.627 0.500
In 0.750 0.750 0.000
Mo 0.127 0.373 0.500
Mo 0.373 0.873 0.246
Mo 0.627 0.127 0.754

# 8
Material: In5Mo
Method: DFT, PBE
State: optimized geometry

Properties
The total energy comes out at -22.44 eV for the cell shown. Its calculated volume is 135 Å³/cell. As for the formation energy: 347 meV per atom. The total magnetization comes out at 0.0 Bohr magnetons per cell.

Unit cell a=5.407 b=5.407 c=5.320 alpha=90.00 beta=90.00 gamma=120.00
Atoms (fractional coordinates):
In 0.313 0.313 0.000
In 0.000 0.687 0.000
Mo 0.000 0.000 0.500
In 0.667 0.333 0.500
In 0.687 0.000 0.000
In 0.333 0.667 0.500

# 9
Material: In6Mo7
Method: DFT, PBE
State: optimized geometry

Properties
The total energy comes out at -88.20 eV for the cell shown. Its calculated volume is 247 Å³/cell. As for the formation energy: 311 meV per atom. The total magnetization comes out at 0.0 Bohr magnetons per cell.

Unit cell a=10.025 b=10.025 c=10.025 alpha=31.67 beta=31.67 gamma=31.67
Atoms (fractional coordinates):
In 0.847 0.847 0.847
In 0.334 0.334 0.334
Mo 0.087 0.592 0.592
Mo 0.408 0.408 0.913
Mo 0.592 0.087 0.592
In 0.050 0.050 0.050
Mo 0.500 0.500 0.500
In 0.666 0.666 0.666
In 0.153 0.153 0.153
Mo 0.408 0.913 0.408
Mo 0.913 0.408 0.408
In 0.950 0.950 0.950
Mo 0.592 0.592 0.087

# 10
Material: InMo4
Method: DFT, PBE
State: optimized geometry

Properties
The total energy comes out at -44.51 eV for the cell shown. Its calculated volume is 85 Å³/cell. As for the formation energy: 311 meV per atom. The total magnetization comes out at 0.0 Bohr magnetons per cell.

Unit cell a=4.885 b=4.885 c=4.885 alpha=102.23 beta=102.23 gamma=125.19
Atoms (fractional coordinates):
Mo 0.800 0.423 0.223
Mo 0.423 0.200 0.624
Mo 0.577 0.800 0.376
Mo 0.200 0.577 0.777
In 0.000 0.000 0.000

# 11
Material: In3Mo2
Method: DFT, PBE
State: optimized geometry

Properties
The total energy comes out at -55.18 eV for the cell shown. Its calculated volume is 195 Å³/cell. As for the formation energy: 458 meV per atom. The total magnetization comes out at 0.0 Bohr magnetons per cell.

Unit cell a=9.003 b=7.803 c=5.769 alpha=81.62 beta=59.03 gamma=39.35
Atoms (fractional coordinates):
Mo 0.357 0.562 0.174
In 0.803 0.901 0.778
In 0.472 0.732 0.447
In 0.164 0.336 0.336
Mo 0.076 0.343 0.893
In 0.349 0.447 0.732
In 0.518 0.778 0.901
Mo 0.688 0.893 0.343
In 0.914 0.086 0.086
Mo 0.907 0.174 0.562

# 12
Material: InMo2
Method: DFT, PBE
State: optimized geometry

Properties
The total energy comes out at -47.25 eV for the cell shown. Its calculated volume is 109 Å³/cell. As for the formation energy: 259 meV per atom. The total magnetization comes out at 0.0 Bohr magnetons per cell.

Unit cell a=5.729 b=5.729 c=6.470 alpha=73.83 beta=73.83 gamma=32.28
Atoms (fractional coordinates):
Mo 0.815 0.815 0.088
In 0.854 0.854 0.571
Mo 0.499 0.499 0.185
In 0.146 0.146 0.429
Mo 0.185 0.185 0.912
Mo 0.501 0.501 0.815

# 13
Material: InMo2
Method: DFT, PBE
State: optimized geometry

Properties
The total energy comes out at -19.77 eV for the cell shown. Its calculated volume is 63 Å³/cell. As for the formation energy: 1544 meV per atom. The total magnetization comes out at 0.0 Bohr magnetons per cell.

Unit cell a=4.771 b=4.771 c=2.781 alpha=90.00 beta=90.00 gamma=90.00
Atoms (fractional coordinates):
In 0.000 0.000 0.000
Mo 0.500 0.000 0.500
Mo 0.000 0.500 0.500

# 14
Material: InMo4
Method: DFT, PBE
State: optimized geometry

Properties
The total energy comes out at -32.67 eV for the cell shown. Its calculated volume is 111 Å³/cell. As for the formation energy: 2679 meV per atom. The total magnetization comes out at 1.1 Bohr magnetons per cell.

Unit cell a=4.801 b=4.801 c=4.801 alpha=90.00 beta=90.00 gamma=90.00
Atoms (fractional coordinates):
Mo 0.000 0.000 0.000
Mo 0.500 0.500 0.000
Mo 0.000 0.500 0.500
Mo 0.500 0.000 0.500
In 0.500 0.500 0.500

# 15
Material: In7Mo
Method: DFT, PBE
State: optimized geometry

Properties
The total energy comes out at -27.55 eV for the cell shown. Its calculated volume is 190 Å³/cell. As for the formation energy: 307 meV per atom. The total magnetization comes out at 2.4 Bohr magnetons per cell.

Unit cell a=6.452 b=6.452 c=6.452 alpha=60.00 beta=60.00 gamma=60.00
Atoms (fractional coordinates):
In 0.500 0.000 0.500
In 0.500 0.500 0.500
In 0.000 0.500 0.500
Mo 0.000 0.000 0.000
In 0.000 0.000 0.500
In 0.500 0.500 0.000
In 0.000 0.500 0.000
In 0.500 0.000 0.000

# 16
Material: InMo3
Method: DFT, PBE
State: optimized geometry

Properties
The total energy comes out at -33.85 eV for the cell shown. Its calculated volume is 67 Å³/cell. As for the formation energy: 345 meV per atom. The total magnetization comes out at 0.0 Bohr magnetons per cell.

Unit cell a=4.068 b=4.068 c=4.068 alpha=90.00 beta=90.00 gamma=90.00
Atoms (fractional coordinates):
In 0.000 0.000 0.000
Mo 0.500 0.000 0.500
Mo 0.500 0.500 0.000
Mo 0.000 0.500 0.500

# 17
Material: In5Mo
Method: DFT, PBE
State: optimized geometry

Properties
The total energy comes out at -22.69 eV for the cell shown. Its calculated volume is 142 Å³/cell. As for the formation energy: 306 meV per atom. The total magnetization comes out at 0.0 Bohr magnetons per cell.

Unit cell a=9.353 b=9.353 c=4.981 alpha=90.00 beta=90.00 gamma=161.04
Atoms (fractional coordinates):
In 0.652 0.348 0.000
Mo 0.113 0.887 0.500
In 0.343 0.657 0.000
In 0.756 0.244 0.500
In 0.010 0.990 0.000
In 0.459 0.541 0.500

# 18
Material: In2Mo3
Method: DFT, PBE
State: optimized geometry

Properties
The total energy comes out at -35.89 eV for the cell shown. Its calculated volume is 93 Å³/cell. As for the formation energy: 417 meV per atom. The total magnetization comes out at 0.0 Bohr magnetons per cell.

Unit cell a=11.570 b=11.570 c=11.570 alpha=15.20 beta=15.20 gamma=15.20
Atoms (fractional coordinates):
Mo 0.807 0.807 0.807
In 0.598 0.598 0.598
In 0.402 0.402 0.402
Mo 0.193 0.193 0.193
Mo 0.000 0.000 0.000

# 19
Material: InMo2
Method: DFT, PBE
State: optimized geometry

Properties
The total energy comes out at -46.66 eV for the cell shown. Its calculated volume is 104 Å³/cell. As for the formation energy: 357 meV per atom. The total magnetization comes out at 0.0 Bohr magnetons per cell.

Unit cell a=7.926 b=7.926 c=4.753 alpha=90.00 beta=90.00 gamma=159.61
Atoms (fractional coordinates):
In 0.616 0.384 0.750
Mo 0.950 0.050 0.750
Mo 0.284 0.716 0.750
Mo 0.716 0.284 0.250
In 0.384 0.616 0.250
Mo 0.050 0.950 0.250

# 20
Material: InMo2
Method: DFT, PBE
State: optimized geometry

Properties
The total energy comes out at -93.91 eV for the cell shown. Its calculated volume is 214 Å³/cell. As for the formation energy: 308 meV per atom. The total magnetization comes out at 0.0 Bohr magnetons per cell.

Unit cell a=4.433 b=5.758 c=8.402 alpha=90.00 beta=90.00 gamma=90.00
Atoms (fractional coordinates):
Mo 0.250 0.544 0.789
Mo 0.750 0.956 0.289
In 0.250 0.647 0.425
Mo 0.750 0.456 0.211
Mo 0.750 0.359 0.910
In 0.250 0.147 0.075
Mo 0.750 0.859 0.590
Mo 0.250 0.044 0.711
Mo 0.250 0.141 0.410
In 0.750 0.353 0.575
Mo 0.250 0.641 0.090
In 0.750 0.853 0.925